Record 1
Ho5ErTmTh2: optimized geometry, GGA-PBE.

a b c (Å): 8.6537 8.6537 9.9045
angles (deg): 115.90 115.90 90.00
Atoms (fractional coordinates):
Ho1 0.9291 0.4291 0.2823
Ho2 0.6468 0.1468 0.7177
Ho3 0.0709 0.5709 0.7177
Ho4 0.1468 0.0709 0.7177
Ho5 0.5709 0.6468 0.7177
Ho6 0.8532 0.9291 0.2823
Ho7 0.4291 0.3532 0.2823
Ho8 0.3532 0.8532 0.2823
Ho9 0.5000 0.5000 0.0000
Ho10 0.0000 0.0000 0.0000
Er1 0.2500 0.2500 0.5000
Er2 0.7500 0.7500 0.5000
Tm1 0.2500 0.7500 0.5000
Tm2 0.7500 0.2500 0.5000
Th1 0.1200 0.3800 0.0000
Th2 0.6200 0.1200 0.0000
Th3 0.3800 0.8800 0.0000
Th4 0.8800 0.6200 0.0000

Results
Density of states at the Fermi level, states/eV/atom: 1.2307
Spin magnetization, μB per cell: 0.0
Space group: I4/mcm, No. 140
Crystal system: tetragonal
Formation energy, eV/f.u.: 3.18

***

Record 2
SbIN2F: optimized geometry, GGA-PBE.

a b c (Å): 4.7441 4.7441 4.3047
angles (deg): 90.00 90.00 90.00
Atoms (fractional coordinates):
I1 0.0000 0.0000 0.5000
Sb1 0.5000 0.5000 0.5000
N1 0.0000 0.5000 0.0000
N2 0.5000 0.0000 0.0000
F1 0.0000 0.0000 0.0000

Results
Density of states at the Fermi level, states/eV/atom: 0.5079
Spin magnetization, μB per cell: 3.4
Space group: P4/mmm, No. 123
Uncorrected energy, eV/f.u.: -14.616
Crystal system: tetragonal

***

Record 3
CdMoSe2: optimized geometry, GGA-PBE.

a b c (Å): 3.3449 2.7162 10.4629
angles (deg): 104.71 90.00 90.00
Atoms (fractional coordinates):
Cd1 0.5000 0.2500 0.2500
Mo1 0.5000 0.7500 0.7500
Se1 0.0000 0.9380 0.9433
Se2 0.0000 0.5620 0.5567

Results
Density of states at the Fermi level, states/eV/atom: 0.5452
Spin magnetization, μB per cell: 0.0
Space group: P2/m, No. 10
Uncorrected energy, eV/f.u.: -18.512
Crystal system: monoclinic